Below is crystalline CeNd2SmTe5 at its relaxed geometry, with properties calculated at the PBE-GGA level.

## Properties
Formation energy from raw total energies: -0.77 eV per atom
Uncorrected energy: -42.86 eV/cell

Cell: 5.639 5.639 11.970 Å, 90.00 90.00 90.00°
Element x y z (fractional)
Ce 0.000 0.000 0.000
Nd 0.500 0.500 0.347
Nd 0.500 0.500 0.653
Sm 0.000 0.000 0.500
Te 0.000 0.000 0.250
Te 0.000 0.000 0.750
Te 0.000 0.500 0.500
Te 0.500 0.000 0.500
Te 0.500 0.500 0.000

***

Below is crystalline CeNd2Sm3Te6 at its relaxed geometry, with properties calculated at the PBE-GGA level.

## Properties
Formation energy from raw total energies: -1.40 eV per atom
Uncorrected energy: -65.25 eV/cell

Cell: 9.991 9.991 9.001 Å, 103.02 103.02 25.71°
Element x y z (fractional)
Ce 0.000 0.000 0.000
Nd 0.333 0.333 0.667
Nd 0.667 0.667 0.333
Sm 0.000 0.000 0.500
Sm 0.332 0.332 0.166
Sm 0.668 0.668 0.834
Te 0.166 0.166 0.586
Te 0.167 0.167 0.080
Te 0.498 0.498 0.252
Te 0.502 0.502 0.748
Te 0.833 0.833 0.920
Te 0.834 0.834 0.414

***

Below is crystalline Ce3Nd3SmTe8 at its relaxed geometry, with properties calculated at the PBE-GGA level.

## Properties
Formation energy from raw total energies: -1.43 eV per atom
Uncorrected energy: -83.43 eV/cell

Cell: 8.969 8.969 8.969 Å, 59.90 59.90 59.90°
Element x y z (fractional)
Ce 0.000 0.500 0.500
Ce 0.500 0.000 0.500
Ce 0.500 0.500 0.000
Nd 0.000 0.000 0.500
Nd 0.000 0.500 0.000
Nd 0.500 0.000 0.000
Sm 0.000 0.000 0.000
Te 0.250 0.250 0.250
Te 0.253 0.253 0.747
Te 0.253 0.747 0.253
Te 0.253 0.747 0.747
Te 0.747 0.253 0.253
Te 0.747 0.253 0.747
Te 0.747 0.747 0.253
Te 0.750 0.750 0.750

***

Below is crystalline CeNdSmTl at its relaxed geometry, with properties calculated at the PBE-GGA level.

## Properties
Uncorrected energy: -17.80 eV/cell
Energy of formation: -3 meV per atom

Cell: 5.516 5.516 5.516 Å, 60.00 60.00 60.00°
Element x y z (fractional)
Ce 0.000 0.000 0.000
Nd 0.250 0.250 0.250
Sm 0.750 0.750 0.750
Tl 0.500 0.500 0.500

***

Below is crystalline Ce2NdSmTl4 at its relaxed geometry, with properties calculated at the PBE-GGA level.

## Properties
Uncorrected energy: -33.14 eV/cell
Energy of formation: -290 meV per atom

Cell: 9.544 9.544 9.544 Å, 33.54 33.54 33.54°
Element x y z (fractional)
Ce 0.250 0.250 0.250
Ce 0.750 0.750 0.750
Nd 0.000 0.000 0.000
Sm 0.500 0.500 0.500
Tl 0.125 0.125 0.125
Tl 0.376 0.376 0.376
Tl 0.624 0.624 0.624
Tl 0.875 0.875 0.875

***

Below is crystalline CeNd2SmTl4 at its relaxed geometry, with properties calculated at the PBE-GGA level.

## Properties
Uncorrected energy: -32.34 eV/cell
Energy of formation: -335 meV per atom

Cell: 9.558 9.558 9.558 Å, 33.50 33.50 33.50°
Element x y z (fractional)
Ce 0.000 0.000 0.000
Nd 0.250 0.250 0.250
Nd 0.750 0.750 0.750
Sm 0.500 0.500 0.500
Tl 0.125 0.125 0.125
Tl 0.375 0.375 0.375
Tl 0.625 0.625 0.625
Tl 0.875 0.875 0.875

***

Below is crystalline CeNdSm6Tm2 at its relaxed geometry, with properties calculated at the PBE-GGA level.

## Properties
Uncorrected energy: -45.51 eV/cell
Energy of formation: 245 meV per atom

Cell: 6.643 6.643 8.941 Å, 102.04 102.04 62.08°
Element x y z (fractional)
Ce 0.000 0.000 0.000
Nd 0.500 0.500 0.500
Sm 0.093 0.569 0.197
Sm 0.131 0.131 0.417
Sm 0.431 0.907 0.803
Sm 0.569 0.093 0.197
Sm 0.869 0.869 0.583
Sm 0.907 0.431 0.803
Tm 0.409 0.409 0.838
Tm 0.591 0.591 0.162

***

Below is crystalline CeNdSm2Tm at its relaxed geometry, with properties calculated at the PBE-GGA level.

## Properties
Uncorrected energy: -46.44 eV/cell
Energy of formation: 278 meV per atom

Cell: 8.462 6.340 6.188 Å, 90.00 91.30 90.00°
Element x y z (fractional)
Ce 0.000 0.044 0.250
Ce 0.000 0.956 0.750
Nd 0.000 0.500 0.000
Nd 0.000 0.500 0.500
Sm 0.309 0.192 0.743
Sm 0.309 0.808 0.243
Sm 0.691 0.192 0.757
Sm 0.691 0.808 0.257
Tm 0.500 0.325 0.250
Tm 0.500 0.675 0.750

***

Below is crystalline CeNd2SmTm at its relaxed geometry, with properties calculated at the PBE-GGA level.

## Properties
Uncorrected energy: -46.64 eV/cell
Energy of formation: 268 meV per atom

Cell: 8.441 6.356 6.235 Å, 90.00 90.28 90.00°
Element x y z (fractional)
Ce 0.000 0.047 0.250
Ce 0.000 0.953 0.750
Nd 0.306 0.197 0.748
Nd 0.306 0.803 0.248
Nd 0.694 0.197 0.752
Nd 0.694 0.803 0.252
Sm 0.000 0.500 0.000
Sm 0.000 0.500 0.500
Tm 0.500 0.322 0.250
Tm 0.500 0.678 0.750

***

Below is crystalline CeNdSm2Tm4 at its relaxed geometry, with properties calculated at the PBE-GGA level.

## Properties
Uncorrected energy: -37.69 eV/cell
Energy of formation: 41 meV per atom

Cell: 6.165 3.552 11.681 Å, 90.00 100.12 90.00°
Element x y z (fractional)
Ce 0.000 0.000 0.000
Nd 0.000 0.500 0.500
Sm 0.500 0.000 0.500
Sm 0.500 0.500 0.000
Tm 0.246 0.500 0.247
Tm 0.247 0.000 0.751
Tm 0.753 0.000 0.249
Tm 0.754 0.500 0.753

***

Below is crystalline Ce2NdSm3Tm6 at its relaxed geometry, with properties calculated at the PBE-GGA level.

## Properties
Uncorrected energy: -57.05 eV/cell
Energy of formation: 47 meV per atom

Cell: 6.145 6.145 11.646 Å, 95.04 95.04 119.99°
Element x y z (fractional)
Ce 0.167 0.833 0.000
Ce 0.833 0.167 0.000
Nd 0.500 0.500 0.000
Sm 0.000 0.000 0.500
Sm 0.334 0.666 0.500
Sm 0.666 0.334 0.500
Tm 0.081 0.417 0.752
Tm 0.247 0.247 0.248
Tm 0.417 0.081 0.752
Tm 0.583 0.919 0.248
Tm 0.753 0.753 0.752
Tm 0.919 0.583 0.248

***

Below is crystalline CeNd6SmTm2 at its relaxed geometry, with properties calculated at the PBE-GGA level.

## Properties
Uncorrected energy: -45.83 eV/cell
Energy of formation: 237 meV per atom

Cell: 6.646 6.646 8.888 Å, 100.73 100.73 63.93°
Element x y z (fractional)
Ce 0.000 0.000 0.000
Nd 0.096 0.564 0.200
Nd 0.131 0.131 0.420
Nd 0.436 0.904 0.800
Nd 0.564 0.096 0.200
Nd 0.869 0.869 0.580
Nd 0.904 0.436 0.800
Sm 0.500 0.500 0.500
Tm 0.408 0.408 0.841
Tm 0.592 0.592 0.159

***

Below is crystalline CeNd2Sm3Y6 at its relaxed geometry, with properties calculated at the PBE-GGA level.

## Properties
Uncorrected energy: -68.01 eV/cell
Energy of formation: 33 meV per atom

Cell: 6.260 6.260 11.861 Å, 95.04 95.04 119.99°
Element x y z (fractional)
Ce 0.000 0.000 0.000
Nd 0.333 0.667 0.000
Nd 0.667 0.333 0.000
Sm 0.167 0.833 0.500
Sm 0.500 0.500 0.500
Sm 0.833 0.167 0.500
Y 0.083 0.414 0.250
Y 0.248 0.248 0.750
Y 0.414 0.083 0.250
Y 0.586 0.917 0.750
Y 0.752 0.752 0.250
Y 0.917 0.586 0.750

***

Below is crystalline CeNdSm6Y2 at its relaxed geometry, with properties calculated at the PBE-GGA level.

## Properties
Uncorrected energy: -49.48 eV/cell
Energy of formation: 246 meV per atom

Cell: 6.689 6.689 8.998 Å, 102.66 102.66 61.84°
Element x y z (fractional)
Ce 0.000 0.000 0.000
Nd 0.500 0.500 0.500
Sm 0.094 0.571 0.197
Sm 0.130 0.130 0.416
Sm 0.429 0.906 0.803
Sm 0.571 0.094 0.197
Sm 0.870 0.870 0.584
Sm 0.906 0.429 0.803
Y 0.407 0.407 0.836
Y 0.593 0.593 0.164

***

Below is crystalline Ce2Nd3SmY6 at its relaxed geometry, with properties calculated at the PBE-GGA level.

## Properties
Uncorrected energy: -69.13 eV/cell
Energy of formation: 46 meV per atom

Cell: 6.241 6.241 11.841 Å, 95.04 95.04 120.00°
Element x y z (fractional)
Ce 0.167 0.833 0.000
Ce 0.833 0.167 0.000
Nd 0.000 0.000 0.500
Nd 0.334 0.666 0.500
Nd 0.666 0.334 0.500
Sm 0.500 0.500 0.000
Y 0.082 0.418 0.754
Y 0.247 0.247 0.247
Y 0.418 0.082 0.754
Y 0.582 0.918 0.246
Y 0.753 0.753 0.753
Y 0.918 0.582 0.246

***

Below is crystalline CeNd3Sm6Y2 at its relaxed geometry, with properties calculated at the PBE-GGA level.

## Properties
Uncorrected energy: -61.02 eV/cell
Energy of formation: 38 meV per atom

Cell: 6.285 6.285 12.045 Å, 95.01 95.01 120.00°
Element x y z (fractional)
Ce 0.000 0.000 0.000
Nd 0.167 0.833 0.500
Nd 0.500 0.500 0.500
Nd 0.833 0.167 0.500
Sm 0.082 0.413 0.247
Sm 0.249 0.249 0.753
Sm 0.413 0.082 0.247
Sm 0.587 0.918 0.753
Sm 0.751 0.751 0.247
Sm 0.918 0.587 0.753
Y 0.333 0.667 0.000
Y 0.667 0.333 0.000

***

Below is crystalline CeNd2Sm6Y3 at its relaxed geometry, with properties calculated at the PBE-GGA level.

## Properties
Uncorrected energy: -62.71 eV/cell
Energy of formation: 39 meV per atom

Cell: 6.274 6.274 11.988 Å, 95.02 95.02 120.01°
Element x y z (fractional)
Ce 0.000 0.000 0.000
Nd 0.334 0.666 0.000
Nd 0.666 0.334 0.000
Sm 0.083 0.414 0.251
Sm 0.247 0.247 0.748
Sm 0.414 0.083 0.251
Sm 0.586 0.917 0.749
Sm 0.753 0.753 0.252
Sm 0.917 0.586 0.749
Y 0.167 0.833 0.500
Y 0.500 0.500 0.500
Y 0.833 0.167 0.500

***

Below is crystalline Ce2NdSm3Y6 at its relaxed geometry, with properties calculated at the PBE-GGA level.

## Properties
Uncorrected energy: -69.00 eV/cell
Energy of formation: 48 meV per atom

Cell: 6.224 6.224 11.828 Å, 95.03 95.03 120.00°
Element x y z (fractional)
Ce 0.167 0.833 0.000
Ce 0.833 0.167 0.000
Nd 0.500 0.500 0.000
Sm 0.000 0.000 0.500
Sm 0.334 0.666 0.500
Sm 0.666 0.334 0.500
Y 0.081 0.417 0.752
Y 0.247 0.247 0.248
Y 0.417 0.081 0.752
Y 0.583 0.919 0.248
Y 0.753 0.753 0.752
Y 0.919 0.583 0.248

***

Below is crystalline CeNdSmY at its relaxed geometry, with properties calculated at the PBE-GGA level.

## Properties
Uncorrected energy: -21.11 eV/cell
Energy of formation: 193 meV per atom

Cell: 5.757 5.757 5.757 Å, 60.00 60.00 60.00°
Element x y z (fractional)
Ce 0.000 0.000 0.000
Nd 0.750 0.750 0.750
Sm 0.250 0.250 0.250
Y 0.500 0.500 0.500

***

Below is crystalline CeNdSm2Y5 at its relaxed geometry, with properties calculated at the PBE-GGA level.

## Properties
Uncorrected energy: -100.29 eV/cell
Energy of formation: 257 meV per atom

Cell: 9.928 9.928 9.928 Å, 127.86 127.86 76.85°
Element x y z (fractional)
Ce 0.250 0.750 0.500
Ce 0.750 0.250 0.500
Nd 0.250 0.250 0.000
Nd 0.750 0.750 0.000
Sm 0.119 0.619 0.738
Sm 0.381 0.119 0.500
Sm 0.619 0.881 0.500
Sm 0.881 0.381 0.262
Y 0.000 0.000 0.000
Y 0.064 0.161 0.500
Y 0.161 0.661 0.097
Y 0.339 0.436 0.500
Y 0.436 0.936 0.097
Y 0.500 0.500 0.000
Y 0.564 0.064 0.903
Y 0.661 0.564 0.500
Y 0.839 0.339 0.903
Y 0.936 0.839 0.500

***

Below is crystalline CeNdSmZn at its relaxed geometry, with properties calculated at the PBE-GGA level.

## Properties
Uncorrected energy: -16.25 eV/cell
Energy of formation: 110 meV per atom

Cell: 5.338 5.338 5.338 Å, 60.00 60.00 60.00°
Element x y z (fractional)
Ce 0.000 0.000 0.000
Nd 0.250 0.250 0.250
Sm 0.750 0.750 0.750
Zn 0.500 0.500 0.500

***

Below is crystalline CeNdSmZr at its relaxed geometry, with properties calculated at the PBE-GGA level.

## Properties
Uncorrected energy: -22.87 eV/cell
Energy of formation: 274 meV per atom

Cell: 5.523 5.523 5.523 Å, 60.00 60.00 60.00°
Element x y z (fractional)
Ce 0.000 0.000 0.000
Nd 0.750 0.750 0.750
Sm 0.500 0.500 0.500
Zr 0.250 0.250 0.250

***

Below is crystalline Ce2NdSn at its relaxed geometry, with properties calculated at the PBE-GGA level.

## Properties
Uncorrected energy: -21.87 eV/cell
Energy of formation: -307 meV per atom
ΔE to the lowest computed polymorph: 0.108 eV/atom

Cell: 4.226 4.226 6.873 Å, 90.00 90.00 90.00°
Element x y z (fractional)
Ce 0.000 0.000 0.201
Ce 0.000 0.000 0.799
Nd 0.500 0.500 0.500
Sn 0.500 0.500 0.000

***

Per-record ρ, g/cm³: 5.31 7.20 6.60 8.94 9.78 9.79 7.49 7.54 7.42 8.31 8.37 7.21 5.92 6.60 5.90 6.76 6.59 5.99 6.45 5.77 7.72 7.33 7.35